No. 1
VASP calculation (PBE) on a relaxed Sm3Ni2Ge3 crystal.

For the energy, the calculation gives -5.705 eV/atom. The calculated formation energy comes out at -759 meV/atom.

Unit cell a=4.185 b=10.694 c=14.948 alpha=90.00 beta=90.00 gamma=90.00
Space group Cmcm (No. 63)
One atom of each set of equivalent atoms:
Sm 0.000 0.092 0.250
Sm 0.000 0.372 0.097
Ni 0.000 0.341 0.617
Ge 0.000 0.096 0.050
Ge 0.000 0.199 0.750

***

No. 2
VASP calculation (PBE) on a relaxed Sm3NiGe3 crystal.

For the energy, the calculation gives -5.636 eV/atom. The calculated formation energy comes out at -809 meV/atom.

Unit cell a=10.794 b=4.317 c=14.155 alpha=90.00 beta=110.41 gamma=90.00
Space group C2/m (No. 12)
One atom of each set of equivalent atoms:
Sm 0.032 0.000 0.383
Sm 0.098 0.000 0.921
Sm 0.248 0.000 0.230
Ni 0.247 0.500 0.397
Ge 0.046 0.500 0.238
Ge 0.122 0.500 0.077
Ge 0.148 0.500 0.542

***

No. 3
VASP calculation (PBE) on a relaxed SmNi2Ge2 crystal.

For the energy, the calculation gives -5.803 eV/atom. The calculated formation energy comes out at -699 meV/atom.

Unit cell a=4.120 b=4.120 c=9.849 alpha=90.00 beta=90.00 gamma=90.00
Space group I4/mmm (No. 139)
One atom of each set of equivalent atoms:
Sm 0.000 0.000 0.000
Ni 0.000 0.500 0.250
Ge 0.000 0.000 0.369

***

No. 4
VASP calculation (PBE) on a relaxed Sm4NiGe8 crystal.

For the energy, the calculation gives -5.396 eV/atom. The calculated formation energy comes out at -658 meV/atom.

Unit cell a=4.043 b=4.168 c=16.560 alpha=90.00 beta=90.00 gamma=90.00
Space group Pmm2 (No. 25)
One atom of each set of equivalent atoms:
Sm 0.000 0.000 0.000
Sm 0.000 0.500 0.499
Sm 0.500 0.000 0.210
Sm 0.500 0.500 0.710
Ni 0.500 0.500 0.918
Ge 0.000 0.000 0.358
Ge 0.000 0.000 0.651
Ge 0.000 0.500 0.158
Ge 0.000 0.500 0.846
Ge 0.500 0.000 0.552
Ge 0.500 0.000 0.846
Ge 0.500 0.500 0.061
Ge 0.500 0.500 0.352

***

No. 5
VASP calculation (PBE) on a relaxed SmNi5Ge3 crystal.

For the energy, the calculation gives -5.769 eV/atom. The calculated formation energy comes out at -494 meV/atom.

Unit cell a=3.762 b=12.097 c=11.794 alpha=90.00 beta=90.00 gamma=90.00
Space group Cmcm (No. 63)
One atom of each set of equivalent atoms:
Sm 0.000 0.160 0.250
Ni 0.000 0.000 0.000
Ni 0.000 0.194 0.566
Ni 0.000 0.448 0.144
Ge 0.000 0.113 0.750
Ge 0.000 0.381 0.545

***

No. 6
VASP calculation (PBE) on a relaxed Sm3Ni2Ge2 crystal.

For the energy, the calculation gives -5.656 eV/atom. The calculated formation energy comes out at -663 meV/atom.

Unit cell a=5.640 b=7.978 c=12.865 alpha=90.00 beta=90.00 gamma=90.00
Space group Pbcm (No. 57)
One atom of each set of equivalent atoms:
Sm 0.136 0.250 0.250
Sm 0.362 0.606 0.101
Ni 0.114 0.537 0.589
Ge 0.152 0.250 0.000
Ge 0.344 0.599 0.750

***

No. 7
VASP calculation (PBE) on a relaxed Sm2Ni3Ge5 crystal.

For the energy, the calculation gives -5.645 eV/atom. The calculated formation energy comes out at -658 meV/atom.

Unit cell a=11.472 b=11.719 c=5.947 alpha=90.00 beta=121.04 gamma=90.00
Space group C2/c (No. 15)
One atom of each set of equivalent atoms:
Sm 0.236 0.134 0.234
Ni 0.000 0.499 0.750
Ni 0.109 0.136 0.609
Ge 0.000 0.001 0.250
Ge 0.000 0.267 0.250
Ge 0.000 0.268 0.750
Ge 0.157 0.400 0.159

***

No. 8
VASP calculation (PBE) on a relaxed Sm3Ni9SnGe2 crystal.

For the energy, the calculation gives -5.473 eV/atom. The calculated formation energy comes out at -178 meV/atom.

Unit cell a=5.9870 b=5.9870 c=9.0099 alpha=90.00 beta=90.00 gamma=120.00
Space group P-3m1 (No. 164)
One atom of each set of equivalent atoms:
Sm 0.0000 0.0000 0.0000
Sm 0.3333 0.6667 0.7139
Ni 0.0000 0.5000 0.0000
Ni 0.1349 0.2698 0.2689
Sn 0.0000 0.0000 0.5000
Ge 0.3333 0.6667 0.1755

***

No. 9
VASP calculation (PBE) on a relaxed Sm2Ni4SnGe3 crystal.

For the energy, the calculation gives -5.683 eV/atom. The calculated formation energy comes out at -641 meV/atom.

Unit cell a=4.186 b=4.186 c=9.908 alpha=90.00 beta=90.00 gamma=90.00
Space group P-4m2 (No. 115)
One atom of each set of equivalent atoms:
Sm 0.000 0.500 0.236
Ni 0.000 0.000 0.000
Ni 0.000 0.500 0.640
Ni 0.500 0.500 0.000
Sn 0.000 0.000 0.500
Ge 0.000 0.500 0.878
Ge 0.500 0.500 0.500

***

No. 10
VASP calculation (PBE) on a relaxed Tb2SmNi2Ge2 crystal.

For the energy, the calculation gives -5.593 eV/atom. The calculated formation energy comes out at -625 meV/atom.

Unit cell a=4.2603 b=4.2603 c=28.3910 alpha=90.00 beta=90.00 gamma=120.00
Space group R-3m (No. 166, hexagonal axes)
One atom of each set of equivalent atoms:
Tb 0.0000 0.0000 0.1233
Sm 0.0000 0.0000 0.0000
Ni 0.0000 0.0000 0.4010
Ge 0.0000 0.0000 0.2633

***

No. 11
VASP calculation (PBE) on a relaxed TbSmNi2Ge2 crystal.

For the energy, the calculation gives -5.761 eV/atom. The calculated formation energy comes out at -736 meV/atom.

Unit cell a=4.1402 b=4.1402 c=7.8092 alpha=90.00 beta=90.00 gamma=120.00
Space group P-3m1 (No. 164)
One atom of each set of equivalent atoms:
Tb 0.0000 0.0000 0.0000
Sm 0.0000 0.0000 0.5000
Ni 0.3333 0.6667 0.2398
Ge 0.3333 0.6667 0.7545

***

No. 12
VASP calculation (PBE) on a relaxed SmTcNiGe2 crystal.

For the energy, the calculation gives -6.572 eV/atom. The calculated formation energy comes out at -552 meV/atom.

Unit cell a=4.130 b=4.130 c=10.443 alpha=90.00 beta=90.00 gamma=90.00
Space group I-4m2 (No. 119)
One atom of each set of equivalent atoms:
Sm 0.000 0.000 0.000
Tc 0.000 0.500 0.250
Ni 0.000 0.500 0.750
Ge 0.000 0.000 0.374

***

Question: Among the records above, which one has the highest calculated formation energy?
Answer: Sm3Ni9SnGe2

***

Question: What is the formula in the eleventh record?
Answer: TbSmNi2Ge2

***

Question: Which formula does entry 3 have?
Answer: SmNi2Ge2

***

Copy entry 2 word for word.
VASP calculation (PBE) on a relaxed Sm3NiGe3 crystal.

For the energy, the calculation gives -5.636 eV/atom. The calculated formation energy comes out at -809 meV/atom.

Unit cell a=10.794 b=4.317 c=14.155 alpha=90.00 beta=110.41 gamma=90.00
Space group C2/m (No. 12)
One atom of each set of equivalent atoms:
Sm 0.032 0.000 0.383
Sm 0.098 0.000 0.921
Sm 0.248 0.000 0.230
Ni 0.247 0.500 0.397
Ge 0.046 0.500 0.238
Ge 0.122 0.500 0.077
Ge 0.148 0.500 0.542